No. 1
Here is LiCaAs2 after structural relaxation from Alexandria. Energies are from GGA-PBE.

Values from the calculation:
- density of states at the Fermi level (states/eV per cell) = 1.1
- uncorrected energy (eV/cell) = -15.9
- formation enthalpy at 0 K (eV/atom) = -0.66
- energy above the most stable polymorph in this dataset (eV/f.u.) = 0.04
- density (Mg/m³) = 4.04
- space-group type = No. 47

Cell: 3.3903 3.9340 6.0696 Å, 90.00 90.00 90.00°
Positions (direct):
Li  0.0000  0.0000  0.0000
Ca  0.0000  0.0000  0.5000
As  0.5000  0.5000  0.2094
As  0.5000  0.5000  0.7906

No. 2
Here is LiCaAs2 after structural relaxation from Alexandria. Energies are from GGA-PBE.

Values from the calculation:
- density of states at the Fermi level (states/eV per cell) = 2.2
- uncorrected energy (eV/cell) = -31.8
- formation enthalpy at 0 K (eV/atom) = -0.67
- energy above the most stable polymorph in this dataset (eV/f.u.) = 0.00
- density (Mg/m³) = 3.89
- space-group type = No. 12

Cell: 8.5173 3.8116 5.4111 Å, 90.00 106.68 90.00°
Positions (direct):
Li  0.0000  0.0000  0.0000
Li  0.5000  0.5000  0.0000
Ca  0.0000  0.5000  0.5000
Ca  0.5000  0.0000  0.5000
As  0.2425  0.5000  0.1787
As  0.2575  0.0000  0.8213
As  0.7425  0.0000  0.1787
As  0.7575  0.5000  0.8213

No. 3
Here is LiCa4As2 after structural relaxation from Alexandria. Energies are from GGA-PBE.

Values from the calculation:
- density of states at the Fermi level (states/eV per cell) = 5.8
- uncorrected energy (eV/cell) = -42.7
- formation enthalpy at 0 K (eV/atom) = -0.31
- density (Mg/m³) = 2.58
- space-group type = No. 139

Cell: 5.0685 5.0685 15.8599 Å, 90.00 90.00 90.00°
Positions (direct):
Li  0.0000  0.0000  0.0000
Li  0.5000  0.5000  0.5000
Ca  0.0000  0.0000  0.1890
Ca  0.0000  0.0000  0.8110
Ca  0.0000  0.5000  0.0000
Ca  0.0000  0.5000  0.5000
Ca  0.5000  0.0000  0.0000
Ca  0.5000  0.0000  0.5000
Ca  0.5000  0.5000  0.3110
Ca  0.5000  0.5000  0.6890
As  0.0000  0.0000  0.3721
As  0.0000  0.0000  0.6279
As  0.5000  0.5000  0.1279
As  0.5000  0.5000  0.8721

No. 4
Here is LiCaAs2 after structural relaxation from Alexandria. Energies are from GGA-PBE.

Values from the calculation:
- density of states at the Fermi level (states/eV per cell) = 4.7
- uncorrected energy (eV/cell) = -44.8
- formation enthalpy at 0 K (eV/atom) = -0.43
- energy above the most stable polymorph in this dataset (eV/f.u.) = 0.96
- density (Mg/m³) = 3.77
- space-group type = No. 166

Cell: 3.4583 3.4583 25.0995 Å, 90.00 90.00 120.00°
Positions (direct):
Li  0.0000  0.0000  0.0000
Li  0.3333  0.6667  0.6667
Li  0.6667  0.3333  0.3333
Ca  0.0000  0.0000  0.5000
Ca  0.3333  0.6667  0.1667
Ca  0.6667  0.3333  0.8333
As  0.0000  0.0000  0.2559
As  0.0000  0.0000  0.7441
As  0.3333  0.6667  0.4108
As  0.3333  0.6667  0.9225
As  0.6667  0.3333  0.0775
As  0.6667  0.3333  0.5892